1.
A plane-wave DFT calculation with PBE-GGA was carried out for a geometry-optimized ErBiSO2 structure.

Output
Symmetry: No. 107
Raw total energy (eV/cell): -27.7

a = 7.381 Å, b = 7.381 Å, c = 7.381 Å
α = 150.17°, β = 150.17°, γ = 42.69°
Atoms (fractional coordinates):
Er 0.000 0.000 0.000
Bi 0.329 0.329 0.000
S 0.620 0.620 0.000
O 0.086 0.586 0.500
O 0.586 0.086 0.500

2.
A plane-wave DFT calculation with PBE-GGA was carried out for a geometry-optimized AsPdPbO structure.

Output
Symmetry: No. 26
Energy above the most stable polymorph in this dataset (eV/atom): 0.364

a = 4.660 Å, b = 4.939 Å, c = 6.251 Å
α = 90.00°, β = 90.00°, γ = 90.00°
Atoms (fractional coordinates):
As 0.000 0.134 0.000
As 0.000 0.866 0.500
Pd 0.000 0.365 0.646
Pd 0.000 0.635 0.146
Pb 0.500 0.209 0.289
Pb 0.500 0.791 0.789
O 0.500 0.361 0.641
O 0.500 0.639 0.141

3.
A plane-wave DFT calculation with PBE-GGA was carried out for a geometry-optimized LiZrPd2 structure.

Output
Symmetry: No. 123
Raw total energy (eV/cell): -23.2

a = 3.277 Å, b = 3.277 Å, c = 6.116 Å
α = 90.00°, β = 90.00°, γ = 90.00°
Atoms (fractional coordinates):
Li 0.000 0.000 0.000
Zr 0.000 0.000 0.500
Pd 0.500 0.500 0.232
Pd 0.500 0.500 0.768

4.
A plane-wave DFT calculation with PBE-GGA was carried out for a geometry-optimized GdYBe structure.

Output
Symmetry: No. 216
Energy above the most stable polymorph in this dataset (eV/atom): 0.000

a = 4.756 Å, b = 4.756 Å, c = 4.756 Å
α = 60.00°, β = 60.00°, γ = 60.00°
Atoms (fractional coordinates):
Gd 0.000 0.000 0.000
Y 0.250 0.250 0.250
Be 0.750 0.750 0.750

5.
A plane-wave DFT calculation with PBE-GGA was carried out for a geometry-optimized Hf4Nb2Ge3N3 structure.

Output
Symmetry: No. 15
Raw total energy (eV/cell): -221.3

a = 5.642 Å, b = 5.642 Å, c = 13.413 Å
α = 102.16°, β = 102.16°, γ = 60.14°
Atoms (fractional coordinates):
Hf 0.025 0.204 0.094
Hf 0.141 0.302 0.405
Hf 0.204 0.025 0.594
Hf 0.302 0.141 0.905
Hf 0.698 0.859 0.095
Hf 0.796 0.975 0.406
Hf 0.859 0.698 0.595
Hf 0.975 0.796 0.906
Nb 0.371 0.529 0.087
Nb 0.471 0.629 0.413
Nb 0.529 0.371 0.587
Nb 0.629 0.471 0.913
Ge 0.105 0.895 0.250
Ge 0.274 0.416 0.749
Ge 0.416 0.274 0.249
Ge 0.584 0.726 0.751
Ge 0.726 0.584 0.251
Ge 0.895 0.105 0.750
N 0.000 0.500 0.000
N 0.143 0.678 0.500
N 0.322 0.857 0.000
N 0.500 0.000 0.500
N 0.678 0.143 0.000
N 0.857 0.322 0.500

6.
A plane-wave DFT calculation with PBE-GGA was carried out for a geometry-optimized Sm2Cu3Ag structure.

Output
Symmetry: No. 99
DFT formation energy (eV per atom): -0.141

a = 3.586 Å, b = 3.586 Å, c = 9.184 Å
α = 90.00°, β = 90.00°, γ = 90.00°
Atoms (fractional coordinates):
Sm 0.000 0.000 0.000
Sm 0.500 0.500 0.482
Cu 0.000 0.000 0.310
Cu 0.000 0.000 0.663
Cu 0.500 0.500 0.173
Ag 0.500 0.500 0.806

7.
A plane-wave DFT calculation with PBE-GGA was carried out for a geometry-optimized Cs2Te3W structure.

Output
Symmetry: No. 63
Energy above the most stable polymorph in this dataset (eV/atom): 0.059

a = 8.432 Å, b = 8.432 Å, c = 7.548 Å
α = 90.00°, β = 90.00°, γ = 75.38°
Atoms (fractional coordinates):
Cs 0.014 0.668 0.750
Cs 0.332 0.986 0.750
Cs 0.668 0.014 0.250
Cs 0.986 0.332 0.250
Te 0.153 0.847 0.250
Te 0.373 0.373 0.000
Te 0.373 0.373 0.500
Te 0.627 0.627 0.000
Te 0.627 0.627 0.500
Te 0.847 0.153 0.750
W 0.403 0.597 0.250
W 0.597 0.403 0.750

8.
A plane-wave DFT calculation with PBE-GGA was carried out for a geometry-optimized Y2ScIn3PtAu2 structure.

Output
Symmetry: No. 38
Raw total energy (eV/cell): -47.3

a = 3.887 Å, b = 7.683 Å, c = 7.683 Å
α = 119.83°, β = 90.00°, γ = 90.00°
Atoms (fractional coordinates):
Y 0.000 0.200 0.800
Y 0.000 0.800 0.200
Sc 0.000 0.402 0.402
In 0.500 0.059 0.059
In 0.500 0.539 0.795
In 0.500 0.795 0.539
Pt 0.000 0.795 0.795
Au 0.500 0.139 0.464
Au 0.500 0.464 0.139

9.
A plane-wave DFT calculation with PBE-GGA was carried out for a geometry-optimized GdYNb structure.

Output
Symmetry: No. 216
DFT formation energy (eV per atom): 0.810
Energy above the most stable polymorph in this dataset (eV/atom): 0.000

a = 5.085 Å, b = 5.085 Å, c = 5.085 Å
α = 60.00°, β = 60.00°, γ = 60.00°
Atoms (fractional coordinates):
Gd 0.000 0.000 0.000
Y 0.500 0.500 0.500
Nb 0.250 0.250 0.250

10.
A plane-wave DFT calculation with PBE-GGA was carried out for a geometry-optimized NaScMoOs structure.

Output
Symmetry: No. 216
Energy above the most stable polymorph in this dataset (eV/atom): 0.000

a = 4.573 Å, b = 4.573 Å, c = 4.573 Å
α = 60.00°, β = 60.00°, γ = 60.00°
Atoms (fractional coordinates):
Na 0.000 0.000 0.000
Sc 0.750 0.750 0.750
Mo 0.250 0.250 0.250
Os 0.500 0.500 0.500

11.
A plane-wave DFT calculation with PBE-GGA was carried out for a geometry-optimized LiScSiNi structure.

Output
Symmetry: No. 216
Energy above the most stable polymorph in this dataset (eV/atom): 0.173

a = 4.284 Å, b = 4.284 Å, c = 4.284 Å
α = 60.00°, β = 60.00°, γ = 60.00°
Atoms (fractional coordinates):
Li 0.000 0.000 0.000
Sc 0.750 0.750 0.750
Si 0.500 0.500 0.500
Ni 0.250 0.250 0.250

12.
A plane-wave DFT calculation with PBE-GGA was carried out for a geometry-optimized MgZrCuPb structure.

Output
Symmetry: No. 216
Raw total energy (eV/cell): -16.5

a = 4.889 Å, b = 4.889 Å, c = 4.889 Å
α = 60.00°, β = 60.00°, γ = 60.00°
Atoms (fractional coordinates):
Mg 0.000 0.000 0.000
Zr 0.250 0.250 0.250
Cu 0.750 0.750 0.750
Pb 0.500 0.500 0.500